Entry 1:
## DyHF (PBE)

Data for crystalline DyHF at its relaxed geometry.

Energy relative to the lowest polymorph listed for this composition ... 183 meV/atom
Density ... 5.49 g cm⁻³
Size of the total moment ... 1.002 μB per cell
Crystal system ... trigonal
Space-group type ... P3m1, No. 156

Unit cell a=3.520 b=3.520 c=5.146 alpha=90.00 beta=90.00 gamma=120.00
Element x y z (fractional)
1 Dy 0.000 0.000 0.000
2 H 0.333 0.667 0.857
3 F 0.667 0.333 0.230

***

Entry 2:
## PmZnGa3Au (PBE)

Data for crystalline PmZnGa3Au at its relaxed geometry.

E_form ... -0.236 eV/atom
Density ... 8.31 g cm⁻³
Size of the total moment ... 0.000 μB per cell
Crystal system ... orthorhombic
Space-group type ... Cmcm, No. 63

Unit cell a=7.944 b=7.944 c=6.084 alpha=90.00 beta=90.00 gamma=140.08
Element x y z (fractional)
1 Pm 0.183 0.817 0.750
2 Pm 0.817 0.183 0.250
3 Zn 0.382 0.618 0.750
4 Zn 0.618 0.382 0.250
5 Ga 0.230 0.230 0.000
6 Ga 0.230 0.230 0.500
7 Ga 0.386 0.614 0.250
8 Ga 0.614 0.386 0.750
9 Ga 0.770 0.770 0.000
10 Ga 0.770 0.770 0.500
11 Au 0.170 0.830 0.250
12 Au 0.830 0.170 0.750

***

Entry 3:
## PrHo2UP4 (PBE)

Data for crystalline PrHo2UP4 at its relaxed geometry.

E_form ... -1.409 eV/atom
Density ... 7.51 g cm⁻³
Size of the total moment ... 2.132 μB per cell
Crystal system ... monoclinic
Space-group type ... P2/m, No. 10

Unit cell a=6.954 b=4.014 c=6.984 alpha=90.00 beta=109.24 gamma=90.00
Element x y z (fractional)
1 Pr 0.000 0.000 0.000
2 Ho 0.500 0.000 0.500
3 Ho 0.500 0.500 0.000
4 U 0.000 0.500 0.500
5 P 0.250 0.000 0.741
6 P 0.255 0.500 0.264
7 P 0.745 0.500 0.736
8 P 0.750 0.000 0.259

***

Entry 4:
## Na6CdBr8 (PBE)

Data for crystalline Na6CdBr8 at its relaxed geometry.

Density ... 3.39 g cm⁻³
Size of the total moment ... 0.000 μB per cell
Crystal system ... cubic
Space-group type ... Fm-3m, No. 225
Formation energy (no corrections) ... -2062 kJ/mol of formula units

Unit cell a=8.508 b=8.508 c=8.508 alpha=60.00 beta=60.00 gamma=60.00
Element x y z (fractional)
1 Na 0.000 0.000 0.500
2 Na 0.000 0.500 0.000
3 Na 0.000 0.500 0.500
4 Na 0.500 0.000 0.000
5 Na 0.500 0.000 0.500
6 Na 0.500 0.500 0.000
7 Cd 0.000 0.000 0.000
8 Br 0.235 0.235 0.765
9 Br 0.235 0.765 0.235
10 Br 0.235 0.765 0.765
11 Br 0.250 0.250 0.250
12 Br 0.750 0.750 0.750
13 Br 0.765 0.235 0.235
14 Br 0.765 0.235 0.765
15 Br 0.765 0.765 0.235

***

Number 1: V 55.2 Å³ per cell. Number 2: V 246.4 Å³ per cell. Number 3: V 184.1 Å³ per cell. Number 4: V 435.5 Å³ per cell.